Record 1
# Rb3Nb2Br9, single point on PBEsol structure, DFT SCAN
data_Rb3Nb2Br9
_cell_length_a 7.5631
_cell_length_b 7.5631
_cell_length_c 17.7512
_cell_angle_alpha 90.00
_cell_angle_beta 90.00
_cell_angle_gamma 120.00
_space_group_name_H-M_alt 'P 63/m m c'
_space_group_IT_number 194
_space_group_name_Hall '-P 6c 2c'
loop_
_atom_site_label
_atom_site_type_symbol
_atom_site_fract_x
_atom_site_fract_y
_atom_site_fract_z
_atom_site_occupancy
Rb1 Rb 0.0000 0.0000 0.2500 1
Rb2 Rb 0.3333 0.6667 0.0671 1
Nb1 Nb 0.3333 0.6667 0.6743 1
Br1 Br 0.0175 0.5087 0.2500 1
Br2 Br 0.1703 0.3406 0.5917 1
# Total DFT energy (no corrections) = -1.6998 Ry/atom
# ΔE_f (raw) = -1441 meV/atom



Record 2
# In2IrRu, single point on PBEsol structure, DFT SCAN
data_In2IrRu
_cell_length_a 10.2230
_cell_length_b 2.9492
_cell_length_c 4.7751
_cell_angle_alpha 90.00
_cell_angle_beta 112.23
_cell_angle_gamma 90.00
_space_group_name_H-M_alt 'C 1 m 1'
_space_group_IT_number 8
_space_group_name_Hall 'C -2y'
loop_
_atom_site_label
_atom_site_type_symbol
_atom_site_fract_x
_atom_site_fract_y
_atom_site_fract_z
_atom_site_occupancy
In1 In 0.0000 0.0000 0.0000 1
In2 In 0.2180 0.0000 0.6001 1
Ir1 Ir 0.2544 0.5000 0.1154 1
Ru1 Ru 0.4669 0.0000 0.4913 1
# Formation enthalpy at 0 K = 0.0302 eV/atom
# Total DFT energy (no corrections) = -3.1710 Ry/atom



Record 3
# LaIr5, single point on PBEsol structure, DFT SCAN
data_LaIr5
_cell_length_a 5.3093
_cell_length_b 5.3093
_cell_length_c 4.2928
_cell_angle_alpha 90.00
_cell_angle_beta 90.00
_cell_angle_gamma 120.00
_space_group_name_H-M_alt 'P 6/m m m'
_space_group_IT_number 191
_space_group_name_Hall '-P 6 2'
loop_
_atom_site_label
_atom_site_type_symbol
_atom_site_fract_x
_atom_site_fract_y
_atom_site_fract_z
_atom_site_occupancy
La1 La 0.0000 0.0000 0.0000 1
Ir1 Ir 0.0000 0.5000 0.5000 1
Ir2 Ir 0.3333 0.6667 0.0000 1
# Formation enthalpy at 0 K = -0.3414 eV/atom
# Total DFT energy (no corrections) = -4.9079 Ry/atom



Record 4
# CsBi3Se, single point on PBEsol structure, DFT SCAN
data_CsBi3Se
_cell_length_a 5.6967
_cell_length_b 5.6967
_cell_length_c 5.6967
_cell_angle_alpha 90.00
_cell_angle_beta 90.00
_cell_angle_gamma 90.00
_space_group_name_H-M_alt 'P m -3 m'
_space_group_IT_number 221
_space_group_name_Hall '-P 4 2 3'
loop_
_atom_site_label
_atom_site_type_symbol
_atom_site_fract_x
_atom_site_fract_y
_atom_site_fract_z
_atom_site_occupancy
Cs1 Cs 0.0000 0.0000 0.0000 1
Bi1 Bi 0.0000 0.5000 0.5000 1
Se1 Se 0.5000 0.5000 0.5000 1
# Total DFT energy (no corrections) = -4.2973 Ry/atom
# ΔE_f (raw) = 257 meV/atom